No. 1
Computed, not measured: a relaxed structure of CrFeBr at the PBE level of DFT.

The calculation puts the electronic total energy at -5.776 eV per atom. The density of states at the Fermi level comes out at 9.73 states/eV/cell. The calculation puts the energy above the most stable polymorph in this dataset at 326 meV per atom. Its uncorrected formation energy is 810.3 meV per atom.

The space group is I4mm (No. 107) and the conventional cell measures 3.064, 3.064 and 11.425 Å, with angles of 90.00, 90.00 and 90.00 degrees. Symmetry generates all atoms from Cr at (0.000, 0.000, 0.000), Fe at (0.000, 0.000, 0.351) and Br at (0.000, 0.000, 0.656).

No. 2
Computed, not measured: a relaxed structure of CrFe2Br at the PBE level of DFT.

The calculation puts the electronic total energy at -6.345 eV per atom. The density of states at the Fermi level comes out at 10.22 states/eV/cell. The calculation puts the energy above the most stable polymorph in this dataset at 239 meV per atom. Its uncorrected formation energy is 710.4 meV per atom.

The space group is Cmmm (No. 65) and the conventional cell measures 3.091, 4.732 and 8.093 Å, with angles of 90.00, 90.00 and 90.00 degrees. Symmetry generates all atoms from Cr at (0.000, 0.000, 0.000), Fe at (0.000, 0.500, 0.222) and Br at (0.000, 0.000, 0.500).

No. 3
Computed, not measured: a relaxed structure of Cr3FeBr at the PBE level of DFT.

The calculation puts the electronic total energy at -6.727 eV per atom. The density of states at the Fermi level comes out at 4.66 states/eV/cell. The calculation puts the energy above the most stable polymorph in this dataset at 0 meV per atom. Its uncorrected formation energy is 1074.2 meV per atom.

The space group is Pm-3m (No. 221) and the conventional cell measures 4.599, 4.599 and 4.599 Å, with angles of 90.00, 90.00 and 90.00 degrees. Symmetry generates all atoms from Cr at (0.000, 0.000, 0.500), Fe at (0.000, 0.000, 0.000) and Br at (0.500, 0.500, 0.500).

No. 4
Computed, not measured: a relaxed structure of Cr2FeBr at the PBE level of DFT.

The calculation puts the electronic total energy at -6.794 eV per atom. The density of states at the Fermi level comes out at 4.05 states/eV/cell. The calculation puts the energy above the most stable polymorph in this dataset at 119 meV per atom. Its uncorrected formation energy is 551.4 meV per atom.

The space group is Pmmm (No. 47) and the conventional cell measures 3.074, 3.199 and 6.461 Å, with angles of 90.00, 90.00 and 90.00 degrees. Symmetry generates all atoms from Cr at (0.000, 0.000, 0.165), Fe at (0.500, 0.500, 0.000) and Br at (0.500, 0.000, 0.500).

No. 5
Computed, not measured: a relaxed structure of Cr2FeBr at the PBE level of DFT.

The calculation puts the electronic total energy at -6.699 eV per atom. The density of states at the Fermi level comes out at 3.69 states/eV/cell. The calculation puts the energy above the most stable polymorph in this dataset at 214 meV per atom. Its uncorrected formation energy is 646.4 meV per atom.

The space group is P4/mmm (No. 123) and the conventional cell measures 2.932, 2.932 and 6.307 Å, with angles of 90.00, 90.00 and 90.00 degrees. Symmetry generates all atoms from Cr at (0.000, 0.000, 0.224), Fe at (0.500, 0.500, 0.000) and Br at (0.500, 0.500, 0.500).

No. 6
Computed, not measured: a relaxed structure of Cr2FeBr at the PBE level of DFT.

The calculation puts the electronic total energy at -6.600 eV per atom. The density of states at the Fermi level comes out at 6.46 states/eV/cell. The calculation puts the energy above the most stable polymorph in this dataset at 314 meV per atom. Its uncorrected formation energy is 745.9 meV per atom.

The space group is Imm2 (No. 44) and the conventional cell measures 3.079, 4.422 and 8.644 Å, with angles of 90.00, 90.00 and 90.00 degrees. Symmetry generates all atoms from Cr at (0.000, 0.000, 0.000), Cr at (0.000, 0.500, 0.236), Fe at (0.000, 0.500, 0.744) and Br at (0.000, 0.000, 0.474).